Record 1
The following is a DFT calculation (GGA-PBE) of crystalline SmMoN at its relaxed geometry.

abc: 3.153 3.152 11.422
angles: 90.00 90.00 120.01
Sites, in units of the cell vectors:
N: 0.610 0.221 0.000
N: 0.279 0.557 0.500
Sm: 0.612 0.224 0.362
Sm: 0.612 0.224 0.638
Mo: 0.277 0.554 0.888
Mo: 0.277 0.554 0.112

Calculated values
* DFT total energy: -47.88 eV per cell
* Fermi-level density of states: 4.676 states/eV per cell
* V: 16.387 A^3/atom
* formation energy (no corrections): -0.02 eV per atom
* total magnetic moment: 0.00 μB/f.u.

=====

Record 2
The following is a DFT calculation (GGA-PBE) of crystalline NdHo3Tl4Se8 at its relaxed geometry.

abc: 8.418 9.168 8.418
angles: 117.35 120.00 90.00
Sites, in units of the cell vectors:
Nd: 0.000 0.500 0.000
Ho: 0.500 0.500 0.000
Ho: 0.500 0.500 0.500
Ho: 0.000 0.500 0.500
Tl: 0.500 0.000 0.000
Tl: 0.500 0.000 0.500
Tl: 0.000 0.000 0.000
Tl: 0.000 0.000 0.500
Se: 0.240 0.706 0.967
Se: 0.240 0.706 0.479
Se: 0.266 0.298 0.532
Se: 0.727 0.706 0.967
Se: 0.273 0.294 0.033
Se: 0.734 0.702 0.468
Se: 0.760 0.294 0.521
Se: 0.760 0.294 0.033

Calculated values
* DFT total energy: -77.92 eV per cell
* V: 29.810 A^3/atom
* formation energy (no corrections): -1.38 eV per atom
* total magnetic moment: 0.00 μB/f.u.

=====

Record 3
The following is a DFT calculation (GGA-PBE) of crystalline PrPuO6 at its relaxed geometry.

abc: 6.182 6.182 7.453
angles: 99.56 99.56 86.58
Last column: magnetic moment on the atom in μB.
Sites, in units of the cell vectors:
Pr: 0.064 0.936 0.250  0.00
Pr: 0.936 0.064 0.750  0.00
Pu: 0.000 0.500 0.500  1.41
Pu: 0.500 0.000 0.000  1.41
O: 0.179 0.567 0.341  -0.07
O: 0.821 0.433 0.659  -0.07
O: 0.433 0.821 0.159  -0.07
O: 0.567 0.179 0.841  -0.07
O: 0.840 0.307 0.226  -0.07
O: 0.160 0.693 0.774  -0.07
O: 0.693 0.160 0.274  -0.07
O: 0.307 0.840 0.726  -0.07
O: 0.199 0.134 0.026  -0.06
O: 0.801 0.866 0.974  -0.06
O: 0.866 0.801 0.474  -0.06
O: 0.134 0.199 0.526  -0.06

Calculated values
* DFT total energy: -133.66 eV per cell
* Fermi-level density of states: 0.788 states/eV per cell
* V: 17.304 A^3/atom
* formation energy (no corrections): -2.25 eV per atom
* total magnetic moment: 0.99 μB/f.u.

=====

Record 4
The following is a DFT calculation (GGA-PBE) of crystalline AlIrPd3 at its relaxed geometry.

abc: 4.449 4.449 4.449
angles: 90.00 90.00 90.00
Sites, in units of the cell vectors:
Ir: 0.500 0.500 0.500
Al: 0.000 0.000 0.000
Pd: 0.000 0.500 0.000
Pd: 0.000 0.000 0.500
Pd: 0.500 0.000 0.000

Calculated values
* DFT total energy: -24.72 eV per cell
* Fermi-level density of states: 4.856 states/eV per cell
* V: 17.606 A^3/atom
* total magnetic moment: 0.00 μB/f.u.

=====

Record 5
The following is a DFT calculation (GGA-PBE) of crystalline Li2LaAu2 at its relaxed geometry.

abc: 4.040 4.040 6.573
angles: 90.00 90.00 90.00
Sites, in units of the cell vectors:
Li: 0.500 0.000 0.500
Li: 0.000 0.500 0.500
La: 0.000 0.000 0.000
Au: 0.500 0.500 0.776
Au: 0.500 0.500 0.224

Calculated values
* DFT total energy: -18.41 eV per cell
* Fermi-level density of states: 2.317 states/eV per cell
* V: 21.455 A^3/atom
* total magnetic moment: 0.00 μB/f.u.

=====

Record 6
The following is a DFT calculation (GGA-PBE) of crystalline TlRe2Ag at its relaxed geometry.

abc: 3.140 4.516 4.909
angles: 90.00 90.00 90.00
Sites, in units of the cell vectors:
Re: 0.000 0.000 0.000
Re: 0.500 0.500 0.000
Tl: 0.500 0.000 0.500
Ag: 0.000 0.500 0.500

Calculated values
* DFT total energy: -26.27 eV per cell
* Fermi-level density of states: 3.867 states/eV per cell
* V: 17.404 A^3/atom
* total magnetic moment: 0.00 μB/f.u.